## BaMoIr2 (PBE-GGA)

Data for an optimized crystal structure of BaMoIr2.

Structure (extended XYZ):
```
4
Lattice="3.1670 0.0000 0.0000 0.0000 3.1670 0.0000 0.0000 0.0000 8.0983" Properties=species:S:1:pos:R:3 pbc="T T T"
Mo 1.5835 1.5835 2.0246
Ir 0.0000 0.0000 0.5614
Ir 0.0000 0.0000 3.4878
Ba 1.5835 1.5835 6.0737
```

Summary:
Formation enthalpy at 0 K (eV/atom): 0.18
Theoretical density (g/cm³): 12.628
Symmetry: No. 123
Crystal system: tetragonal